[1]
A plane-wave DFT calculation with GGA-PBE was carried out for AlRh2W after structural relaxation.

Structure (CIF):
```
data_AlRh2W
_cell_length_a 3.7893
_cell_length_b 3.7893
_cell_length_c 8.1439
_cell_angle_alpha 90.00
_cell_angle_beta 90.00
_cell_angle_gamma 90.00
_space_group_name_H-M_alt 'I -4 m 2'
_space_group_IT_number 119
_space_group_name_Hall 'I -4 -2'
loop_
_atom_site_label
_atom_site_type_symbol
_atom_site_fract_x
_atom_site_fract_y
_atom_site_fract_z
Al1 Al 0.0000 0.0000 0.0000
Rh1 Rh 0.0000 0.0000 0.5000
Rh2 Rh 0.0000 0.5000 0.7500
W1 W 0.0000 0.5000 0.2500
```

Results
The size of the total moment is 0.0 μB per formula unit. As for the formation energy: -0.3131 eV/atom.



[2]
A plane-wave DFT calculation with GGA-PBE was carried out for AlRh2W after structural relaxation.

Structure (CIF):
```
data_AlRh2W
_cell_length_a 5.6648
_cell_length_b 5.6648
_cell_length_c 10.6629
_cell_angle_alpha 90.00
_cell_angle_beta 90.00
_cell_angle_gamma 90.00
_space_group_name_H-M_alt 'I -4 2 d'
_space_group_IT_number 122
_space_group_name_Hall 'I -4 2bw'
loop_
_atom_site_label
_atom_site_type_symbol
_atom_site_fract_x
_atom_site_fract_y
_atom_site_fract_z
Al1 Al 0.0000 0.0000 0.0000
Rh1 Rh 0.2479 0.2500 0.1250
W1 W 0.0000 0.0000 0.5000
```

Results
The size of the total moment is 0.0 μB per formula unit. As for the formation energy: 0.6056 eV/atom.



[3]
A plane-wave DFT calculation with GGA-PBE was carried out for YAl2Rh after structural relaxation.

Structure (CIF):
```
data_YAl2Rh
_cell_length_a 4.6523
_cell_length_b 4.6523
_cell_length_c 6.5943
_cell_angle_alpha 90.00
_cell_angle_beta 90.00
_cell_angle_gamma 90.00
_space_group_name_H-M_alt 'I -4 m 2'
_space_group_IT_number 119
_space_group_name_Hall 'I -4 -2'
loop_
_atom_site_label
_atom_site_type_symbol
_atom_site_fract_x
_atom_site_fract_y
_atom_site_fract_z
Y1 Y 0.0000 0.0000 0.0000
Al1 Al 0.0000 0.0000 0.5000
Al2 Al 0.0000 0.5000 0.7500
Rh1 Rh 0.0000 0.5000 0.2500
```

Results
The size of the total moment is 0.0 μB per formula unit. As for the formation energy: -0.5338 eV/atom.



no.,electronic total energy (eV/cell)
1,-65.30
2,-115.91
3,-46.87